# 1
This record from the Alexandria database describes an optimized crystal structure of TbCe2Nd3S6. The functional is PBE.

It has space group C2/m (No. 12), with a = 6.975 Å, b = 12.096 Å, c = 6.990 Å, α = 90.00°, β = 109.54° and γ = 90.00°. The distinct sites, in fractional coordinates, are Tb at (0.000, 0.000, 0.000), Ce at (0.000, 0.334, 0.000), Nd at (0.000, 0.167, 0.500), Nd at (0.000, 0.500, 0.500), S at (0.245, 0.165, 0.243) and S at (0.248, 0.000, 0.756).

The energy relative to the elements, uncorrected is -2034.2 meV per atom. The value obtained for the calculated density is 6.36 g/cm³.


# 2
This record from the Alexandria database describes an optimized crystal structure of LiTiH. The functional is PBE.

It has space group R-3m (No. 166, hexagonal axes), with a = 2.9134 Å, b = 2.9134 Å, c = 29.0976 Å, α = 90.00°, β = 90.00° and γ = 120.00°. The distinct sites, in fractional coordinates, are Li at (0.0000, 0.0000, 0.1248), Ti at (0.0000, 0.0000, 0.2950) and H at (0.0000, 0.0000, 0.4113).

For the calculated total energy, the calculation gives -4.58 eV/atom. The value obtained for the calculated density is 2.60 g/cm³.


# 3
This record from the Alexandria database describes an optimized crystal structure of Pm3MgC. The functional is PBE.

It has space group Pm-3m (No. 221), with a = 5.131 Å, b = 5.131 Å, c = 5.131 Å, α = 90.00°, β = 90.00° and γ = 90.00°. The distinct sites, in fractional coordinates, are Pm at (0.000, 0.000, 0.500), Mg at (0.500, 0.500, 0.500) and C at (0.000, 0.000, 0.000).

For the calculated total energy, the calculation gives -5.09 eV/atom. The value obtained for the calculated density is 5.79 g/cm³.


Please write out number 1 again, unchanged.
This record from the Alexandria database describes an optimized crystal structure of TbCe2Nd3S6. The functional is PBE.

It has space group C2/m (No. 12), with a = 6.975 Å, b = 12.096 Å, c = 6.990 Å, α = 90.00°, β = 109.54° and γ = 90.00°. The distinct sites, in fractional coordinates, are Tb at (0.000, 0.000, 0.000), Ce at (0.000, 0.334, 0.000), Nd at (0.000, 0.167, 0.500), Nd at (0.000, 0.500, 0.500), S at (0.245, 0.165, 0.243) and S at (0.248, 0.000, 0.756).

The energy relative to the elements, uncorrected is -2034.2 meV per atom. The value obtained for the calculated density is 6.36 g/cm³.


Q: Among the records above, which one has the highest calculated density?
A: TbCe2Nd3S6


Q: Which of these has the lowest calculated density?
A: LiTiH


Q: calculated density of number 3 (Pm3MgC)?
A: 5.79 g/cm³